Crystalline Dy4Ho3Tl at its relaxed geometry, computed with PBE.

Geometry as CIF:
```
data_Dy4Ho3Tl
_chemical_formula_sum 'Dy4 Ho3 Tl1'
_space_group_name_H-M_alt 'P 4/m m m'
_space_group_IT_number 123
_space_group_name_Hall '-P 4 2'
_cell_length_a 3.557
_cell_length_b 3.557
_cell_length_c 19.255
_cell_angle_alpha 90.00
_cell_angle_beta 90.00
_cell_angle_gamma 90.00
loop_
_atom_site_label
_atom_site_type_symbol
_atom_site_fract_x
_atom_site_fract_y
_atom_site_fract_z
Dy1 Dy 0.000 0.000 0.112
Dy2 Dy 0.000 0.000 0.371
Ho1 Ho 0.500 0.500 0.241
Ho2 Ho 0.500 0.500 0.500
Tl1 Tl 0.500 0.500 0.000
```

offset from the most stable computed form = 0.0 kJ per mole of atoms

---

Crystalline Dy2HoTl at its relaxed geometry, computed with PBE.

Geometry as CIF:
```
data_Dy2HoTl
_chemical_formula_sum 'Dy8 Ho4 Tl4'
_space_group_name_H-M_alt 'F m -3 m'
_space_group_IT_number 225
_space_group_name_Hall '-F 4 2 3'
_cell_length_a 7.716
_cell_length_b 7.716
_cell_length_c 7.716
_cell_angle_alpha 90.00
_cell_angle_beta 90.00
_cell_angle_gamma 90.00
loop_
_atom_site_label
_atom_site_type_symbol
_atom_site_fract_x
_atom_site_fract_y
_atom_site_fract_z
Dy1 Dy 0.250 0.250 0.250
Ho1 Ho 0.000 0.000 0.000
Tl1 Tl 0.000 0.000 0.500
```

offset from the most stable computed form = 15.7 kJ per mole of atoms

---

Crystalline Dy2Ho5Tl4 at its relaxed geometry, computed with PBE.

Geometry as CIF:
```
data_Dy2Ho5Tl4
_chemical_formula_sum 'Dy4 Ho10 Tl8'
_space_group_name_H-M_alt 'I m m m'
_space_group_IT_number 71
_space_group_name_Hall '-I 2 2'
_cell_length_a 3.529
_cell_length_b 9.393
_cell_length_c 21.713
_cell_angle_alpha 90.00
_cell_angle_beta 90.00
_cell_angle_gamma 90.00
loop_
_atom_site_label
_atom_site_type_symbol
_atom_site_fract_x
_atom_site_fract_y
_atom_site_fract_z
Dy1 Dy 0.000 0.000 0.119
Ho1 Ho 0.000 0.318 0.159
Ho2 Ho 0.000 0.500 0.500
Tl1 Tl 0.000 0.000 0.252
Tl2 Tl 0.000 0.319 0.000
```

calculated total energy = -3.468 eV per atom

---

Crystalline DyHoTl4 at its relaxed geometry, computed with PBE.

Geometry as CIF:
```
data_DyHoTl4
_chemical_formula_sum 'Dy1 Ho1 Tl4'
_space_group_name_H-M_alt 'P 4/m m m'
_space_group_IT_number 123
_space_group_name_Hall '-P 4 2'
_cell_length_a 5.008
_cell_length_b 5.008
_cell_length_c 7.611
_cell_angle_alpha 90.00
_cell_angle_beta 90.00
_cell_angle_gamma 90.00
loop_
_atom_site_label
_atom_site_type_symbol
_atom_site_fract_x
_atom_site_fract_y
_atom_site_fract_z
Dy1 Dy 0.000 0.000 0.000
Ho1 Ho 0.500 0.500 0.500
Tl1 Tl 0.000 0.500 0.251
```

calculated total energy = -3.098 eV per atom

---

Crystalline Dy5HoTl6 at its relaxed geometry, computed with PBE.

Geometry as CIF:
```
data_Dy5HoTl6
_chemical_formula_sum 'Dy10 Ho2 Tl12'
_space_group_name_H-M_alt 'C 1 2/m 1'
_space_group_IT_number 12
_space_group_name_Hall '-C 2y'
_cell_length_a 9.777
_cell_length_b 11.213
_cell_length_c 6.567
_cell_angle_alpha 90.00
_cell_angle_beta 102.65
_cell_angle_gamma 90.00
loop_
_atom_site_label
_atom_site_type_symbol
_atom_site_fract_x
_atom_site_fract_y
_atom_site_fract_z
Dy1 Dy 0.000 0.000 0.000
Dy2 Dy 0.000 0.167 0.500
Dy3 Dy 0.000 0.333 0.000
Ho1 Ho 0.000 0.500 0.500
Tl1 Tl 0.250 0.000 0.749
Tl2 Tl 0.250 0.166 0.251
```

offset from the most stable computed form = 8.3 kJ per mole of atoms

---

Crystalline Dy2Ho6Tl at its relaxed geometry, computed with PBE.

Geometry as CIF:
```
data_Dy2Ho6Tl
_chemical_formula_sum 'Dy8 Ho24 Tl4'
_space_group_name_H-M_alt 'C 1 2/c 1'
_space_group_IT_number 15
_space_group_name_Hall '-C 2yc'
_cell_length_a 20.850
_cell_length_b 6.179
_cell_length_c 8.917
_cell_angle_alpha 90.00
_cell_angle_beta 109.19
_cell_angle_gamma 90.00
loop_
_atom_site_label
_atom_site_type_symbol
_atom_site_fract_x
_atom_site_fract_y
_atom_site_fract_z
Dy1 Dy 0.223 0.169 0.305
Ho1 Ho 0.054 0.331 0.136
Ho2 Ho 0.109 0.150 0.529
Ho3 Ho 0.163 0.337 0.918
Tl1 Tl 0.000 0.165 0.750
```

offset from the most stable computed form = 0.0 kJ per mole of atoms

---

Crystalline Dy3Ho12Tl at its relaxed geometry, computed with PBE.

Geometry as CIF:
```
data_Dy3Ho12Tl
_chemical_formula_sum 'Dy3 Ho12 Tl1'
_space_group_name_H-M_alt 'P 4/m m m'
_space_group_IT_number 123
_space_group_name_Hall '-P 4 2'
_cell_length_a 4.931
_cell_length_b 4.931
_cell_length_c 20.032
_cell_angle_alpha 90.00
_cell_angle_beta 90.00
_cell_angle_gamma 90.00
loop_
_atom_site_label
_atom_site_type_symbol
_atom_site_fract_x
_atom_site_fract_y
_atom_site_fract_z
Dy1 Dy 0.000 0.000 0.000
Dy2 Dy 0.000 0.000 0.251
Ho1 Ho 0.000 0.500 0.126
Ho2 Ho 0.000 0.500 0.378
Ho3 Ho 0.500 0.500 0.000
Ho4 Ho 0.500 0.500 0.255
Ho5 Ho 0.500 0.500 0.500
Tl1 Tl 0.000 0.000 0.500
```

calculated total energy = -4.469 eV per atom

---

Crystalline Dy6Ho2Tl at its relaxed geometry, computed with PBE.

Geometry as CIF:
```
data_Dy6Ho2Tl
_chemical_formula_sum 'Dy12 Ho4 Tl2'
_space_group_name_H-M_alt 'P 42/m n m'
_space_group_IT_number 136
_space_group_name_Hall '-P 4n 2n'
_cell_length_a 10.596
_cell_length_b 10.596
_cell_length_c 4.873
_cell_angle_alpha 90.00
_cell_angle_beta 90.00
_cell_angle_gamma 90.00
loop_
_atom_site_label
_atom_site_type_symbol
_atom_site_fract_x
_atom_site_fract_y
_atom_site_fract_z
Dy1 Dy 0.000 0.336 0.000
Dy2 Dy 0.162 0.162 0.500
Ho1 Ho 0.163 0.837 0.500
Tl1 Tl 0.000 0.000 0.000
```

offset from the most stable computed form = 2.4 kJ per mole of atoms

---

Size of the total moment
In order: 0.0000, 0.3601, 0.0000, 0.0000, 0.0000, 0.0000, 0.0000, 0.0000
Unit: μB per atom
Calculated volume
In order: 30.457, 28.711, 32.719, 31.818, 29.266, 30.136, 30.445, 30.391
Unit: A^3/atom